# 1
La4ReI2Cl | GGA-PBE | relaxed Values from VASP.

Calculated volume (Å³/f.u.): 262.25
N(E_F) (states/eV/atom): 0.8443
ρ (g cm⁻³): 6.53
Space-group type: No. 10
Energy relative to the elements, uncorrected (kJ/mol of atoms): -84.1

Geometry as Quantum ESPRESSO input:
```
&SYSTEM
  ibrav = 0, nat = 8, ntyp = 4
/
ATOMIC_SPECIES
La 138.91 La.upf
Re 186.21 Re.upf
I 126.90 I.upf
Cl 35.45 Cl.upf
CELL_PARAMETERS angstrom
-0.547 -1.773 3.862
-5.313 -5.544 -3.298
4.265 -5.934 -2.120
ATOMIC_POSITIONS angstrom
La -0.544 -8.243 -3.861
La -1.052 -5.008 2.306
La -2.726 -6.448 -0.970
La 1.130 -6.803 -0.586
Re -0.524 -5.739 -2.709
I 4.265 -5.934 -2.120
I 1.859 -3.854 0.871
Cl -2.930 -3.659 0.282
```

---

# 2
Ca2IClO | GGA-PBE | relaxed Values from VASP.

Calculated volume (Å³/f.u.): 149.05
N(E_F) (states/eV/atom): 0.0000
ρ (g cm⁻³): 2.88
Space-group type: No. 12
Energy relative to the elements, uncorrected (kJ/mol of atoms): -222.9

Geometry as Quantum ESPRESSO input:
```
&SYSTEM
  ibrav = 0, nat = 10, ntyp = 4
/
ATOMIC_SPECIES
Ca 40.08 Ca.upf
I 126.90 I.upf
Cl 35.45 Cl.upf
O 16.00 O.upf
CELL_PARAMETERS angstrom
4.081 0.000 0.000
-2.040 8.639 0.485
0.000 -1.553 8.369
ATOMIC_POSITIONS angstrom
Ca 0.000 6.528 6.397
Ca 2.040 0.558 2.456
Ca 0.000 0.139 8.045
Ca 2.040 6.947 0.809
I 0.000 5.992 3.298
I 2.040 1.094 5.556
Cl 2.040 2.910 1.059
Cl 0.000 4.176 7.794
O 0.000 0.256 1.463
O 2.040 6.830 7.390
```

---

# 3
RbHgC3 | GGA-PBE | relaxed Values from VASP.

Calculated volume (Å³/f.u.): 217.46
N(E_F) (states/eV/atom): 2.2913
ΔE to the lowest computed polymorph (kJ/mol of formula units): 437
Energy relative to the elements (kcal/mol of atoms): 91.7
ρ (g cm⁻³): 2.46
Space-group type: No. 221

Geometry as Quantum ESPRESSO input:
```
&SYSTEM
  ibrav = 0, nat = 5, ntyp = 3
/
ATOMIC_SPECIES
C 12.01 C.upf
Hg 200.59 Hg.upf
Rb 85.47 Rb.upf
CELL_PARAMETERS angstrom
6.013 0.000 0.000
0.000 6.013 0.000
0.000 0.000 6.013
ATOMIC_POSITIONS angstrom
C 0.000 3.007 0.000
C 0.000 0.000 3.007
C 3.007 0.000 0.000
Hg 3.007 3.007 3.007
Rb 0.000 0.000 0.000
```

---

# 4
Pm3Pr2Tm4 | GGA-PBE | relaxed Values from VASP.

Calculated volume (Å³/f.u.): 294.41
N(E_F) (states/eV/atom): 1.2617
ΔE to the lowest computed polymorph (kJ/mol of formula units): 0
Energy relative to the elements (kcal/mol of atoms): 0.4
ρ (g cm⁻³): 7.85
Space-group type: No. 2

Geometry as Quantum ESPRESSO input:
```
&SYSTEM
  ibrav = 0, nat = 9, ntyp = 3
/
ATOMIC_SPECIES
Pm 145.00 Pm.upf
Pr 140.91 Pr.upf
Tm 168.93 Tm.upf
CELL_PARAMETERS angstrom
7.709 -0.727 -2.077
-3.754 4.987 -0.051
-4.868 0.379 9.573
ATOMIC_POSITIONS angstrom
Pm -2.650 3.284 4.580
Pm 0.000 0.000 0.000
Pm 1.736 1.356 2.865
Pr -1.006 3.168 1.404
Pr 0.092 1.471 6.041
Tm 3.335 1.219 -0.348
Tm -3.229 0.268 6.399
Tm 2.316 4.371 1.046
Tm -4.248 3.420 7.793
```

---

# 5
Sc6TlIn2 | GGA-PBE | relaxed Values from VASP.

Calculated volume (Å³/f.u.): 245.53
N(E_F) (states/eV/atom): 1.5100
Energy relative to the elements (kcal/mol of atoms): -0.7
ρ (g cm⁻³): 4.76
Space-group type: No. 71

Geometry as Quantum ESPRESSO input:
```
&SYSTEM
  ibrav = 0, nat = 9, ntyp = 3
/
ATOMIC_SPECIES
Sc 44.96 Sc.upf
Tl 204.38 Tl.upf
In 114.82 In.upf
CELL_PARAMETERS angstrom
-2.172 1.722 4.002
5.128 -2.516 3.865
2.165 6.695 -4.667
ATOMIC_POSITIONS angstrom
Sc 2.503 1.476 0.721
Sc 0.058 5.682 0.549
Sc 2.618 4.426 2.479
Sc 0.203 0.229 2.973
Sc 5.063 0.220 2.651
Sc 2.753 -1.022 4.894
Tl 0.000 0.000 0.000
In 2.692 1.700 3.688
In 2.429 4.201 -0.488
```

---

# 6
AlCr5 | GGA-PBE | relaxed Values from VASP.

Calculated volume (Å³/f.u.): 72.04
N(E_F) (states/eV/atom): 0.7572
ΔE to the lowest computed polymorph (kJ/mol of formula units): 2
Energy relative to the elements (kcal/mol of atoms): -1.1
ρ (g cm⁻³): 6.61
Space-group type: No. 12

Geometry as Quantum ESPRESSO input:
```
&SYSTEM
  ibrav = 0, nat = 6, ntyp = 2
/
ATOMIC_SPECIES
Al 26.98 Al.upf
Cr 52.00 Cr.upf
CELL_PARAMETERS angstrom
-2.055 -0.775 4.229
-3.288 -2.543 2.330
2.692 -4.534 2.475
ATOMIC_POSITIONS angstrom
Al -5.044 -3.478 6.514
Cr -0.530 -2.817 2.968
Cr -1.525 -5.354 5.977
Cr -2.862 -3.178 4.818
Cr -3.698 -5.745 7.752
Cr 0.807 -4.994 4.127
```

---

# 7
Ce2DyF8 | GGA-PBE | relaxed Values from VASP.

Calculated volume (Å³/f.u.): 169.34
N(E_F) (states/eV/atom): 1.3065
ΔE to the lowest computed polymorph (kJ/mol of formula units): 27
ρ (g cm⁻³): 5.83
Space-group type: No. 12
Energy relative to the elements, uncorrected (kJ/mol of atoms): -370.2

Geometry as Quantum ESPRESSO input:
```
&SYSTEM
  ibrav = 0, nat = 11, ntyp = 3
/
ATOMIC_SPECIES
F 19.00 F.upf
Ce 140.12 Ce.upf
Dy 162.50 Dy.upf
CELL_PARAMETERS angstrom
-3.737 0.637 1.504
2.723 -5.084 3.393
2.007 6.719 2.141
ATOMIC_POSITIONS angstrom
F -1.193 2.334 1.576
F -1.495 -1.267 2.352
F -0.500 0.522 4.066
F 0.543 2.268 5.920
F 1.494 1.750 2.971
F 2.488 3.539 4.684
F 2.186 -0.063 5.461
F 0.450 0.004 1.117
Ce -0.166 3.190 3.768
Ce 1.159 -0.919 3.269
Dy -1.869 0.319 0.752
```

---

# 8
YAgAs2 | GGA-PBE | relaxed Values from VASP.

Calculated volume (Å³/f.u.): 84.21
N(E_F) (states/eV/atom): 0.9455
Energy relative to the elements (kcal/mol of atoms): -9.4
ρ (g cm⁻³): 6.84
Space-group type: No. 225

Geometry as Quantum ESPRESSO input:
```
&SYSTEM
  ibrav = 0, nat = 4, ntyp = 3
/
ATOMIC_SPECIES
Y 88.91 Y.upf
As 74.92 As.upf
Ag 107.87 Ag.upf
CELL_PARAMETERS angstrom
-3.551 -3.274 -0.936
-4.704 1.161 0.855
-3.080 0.722 -3.768
ATOMIC_POSITIONS angstrom
Y 0.000 0.000 0.000
As -2.834 -0.348 -0.962
As -8.501 -1.044 -2.887
Ag -5.668 -0.696 -1.924
```

---

# 9
PPb4Br | GGA-PBE | relaxed Values from VASP.

Calculated volume (Å³/f.u.): 187.59
N(E_F) (states/eV/atom): 0.5645
ρ (g cm⁻³): 8.32
Space-group type: No. 216
Energy relative to the elements, uncorrected (kJ/mol of atoms): 39.3

Geometry as Quantum ESPRESSO input:
```
&SYSTEM
  ibrav = 0, nat = 6, ntyp = 3
/
ATOMIC_SPECIES
P 30.97 P.upf
Pb 207.20 Pb.upf
Br 79.90 Br.upf
CELL_PARAMETERS angstrom
0.000 4.544 4.544
4.544 0.000 4.544
4.544 4.544 0.000
ATOMIC_POSITIONS angstrom
P 0.000 0.000 0.000
Pb 3.402 5.685 5.685
Pb 5.685 5.685 3.402
Pb 5.685 3.402 5.685
Pb 3.402 3.402 3.402
Br 6.815 6.815 6.815
```

---

# 10
PrDyIr | GGA-PBE | relaxed Values from VASP.

Calculated volume (Å³/f.u.): 76.91
N(E_F) (states/eV/atom): 1.1360
ΔE to the lowest computed polymorph (kJ/mol of formula units): 0
Energy relative to the elements (kcal/mol of atoms): -13.7
ρ (g cm⁻³): 10.70
Space-group type: No. 38

Geometry as Quantum ESPRESSO input:
```
&SYSTEM
  ibrav = 0, nat = 18, ntyp = 3
/
ATOMIC_SPECIES
Pr 140.91 Pr.upf
Dy 162.50 Dy.upf
Ir 192.22 Ir.upf
CELL_PARAMETERS angstrom
7.547 0.000 0.000
0.000 9.383 0.000
-3.773 -4.691 6.516
ATOMIC_POSITIONS angstrom
Pr 3.451 -2.346 3.848
Pr -0.322 7.037 2.668
Pr 2.596 7.037 0.001
Pr -1.177 -2.346 6.516
Pr -0.320 2.346 2.668
Pr 3.453 2.346 3.849
Dy 0.106 0.000 0.000
Dy 0.106 4.691 0.000
Dy 0.930 0.001 4.817
Dy 4.703 4.691 1.699
Dy 4.703 0.001 1.699
Dy 0.930 4.691 4.817
Ir 1.909 -2.346 6.516
Ir 5.682 7.037 0.001
Ir 1.915 0.001 2.170
Ir -1.858 4.691 4.346
Ir -1.858 0.001 4.346
Ir 1.915 4.691 2.170
```

---

N(E_F) of number 1 (La4ReI2Cl)? 0.8443 states/eV/atom

---

N(E_F) of number 9 (PPb4Br)? 0.5645 states/eV/atom

---

Among the records above, which one has the highest ρ? PrDyIr